Density functional theory data (PBE with a Hubbard U) for a relaxed structure of K2MgP2WO10.

```
K2MgP2WO10
1.0
9.3080 -0.0053 0.0044
-0.0337 9.3235 -0.0020
-0.0788 -0.0546 10.8901
K Mg P W O
8 4 8 4 40
Cartesian
7.7861 4.6443 3.5641 K
4.7343 1.7825 2.2239 K
-0.0055 3.1472 7.3445 K
6.0486 9.2506 9.5448 K
2.3434 0.0618 4.9599 K
4.7286 6.8808 6.1963 K
2.3958 4.3866 10.2770 K
9.1535 6.8554 0.5012 K
3.2723 3.3105 5.4030 Mg
8.0649 1.1256 2.6583 Mg
5.9457 5.8286 0.1226 Mg
1.3321 7.8391 8.1666 Mg
1.6085 2.9319 2.5821 P
7.6652 6.2992 8.2657 P
6.2664 1.6673 5.4141 P
6.2448 7.5853 2.8870 P
2.9969 1.4403 8.0942 P
7.6037 2.8630 10.7984 P
3.1067 7.6480 0.0713 P
1.4841 6.1231 5.3996 P
3.4894 5.6936 2.7470 W
1.0373 0.9065 10.8276 W
5.6154 3.5830 8.1324 W
8.2148 8.2542 5.5279 W
0.3989 9.1103 9.5536 O
9.1797 6.2414 8.3946 O
6.4125 9.0583 2.5765 O
2.2488 7.0071 9.7837 O
6.8559 7.1985 4.2940 O
2.9825 9.2510 7.9504 O
2.1272 2.2860 1.2327 O
4.6905 7.2571 3.1003 O
8.8474 9.1835 4.1254 O
7.1306 4.8571 7.8266 O
1.9190 4.4870 2.3646 O
6.8242 6.6403 1.8306 O
9.1338 2.4748 10.5015 O
2.5410 6.9433 1.3693 O
4.5350 7.4570 10.8565 O
6.7308 0.1920 5.8255 O
2.1919 6.6393 4.0818 O
-0.0415 6.5593 5.2133 O
7.5863 4.3965 0.2556 O
2.7319 9.1865 0.2637 O
0.1175 0.3085 1.2822 O
4.4863 4.2072 6.8742 O
2.1800 1.9163 9.3543 O
4.1272 4.6773 4.0958 O
1.5475 4.6101 5.5323 O
4.4871 1.9466 8.4059 O
2.4689 2.3972 3.7249 O
2.1147 6.8987 6.5550 O
6.9585 6.7380 9.5497 O
4.5184 5.0011 1.4281 O
6.9237 2.5432 9.4072 O
2.4412 2.1699 6.8699 O
0.0990 8.8393 6.7395 O
0.1170 2.7471 2.7608 O
7.0434 2.1281 4.1794 O
7.1190 1.9754 0.9723 O
5.0173 4.5496 9.5323 O
6.6896 2.5226 6.6655 O
7.2003 7.2265 7.0849 O
4.7574 1.6888 5.2025 O
```

Output
The total energy comes out at -6.80 eV/atom. The calculation puts the spin magnetization at 0.00 Bohr magnetons per cell. The crystal system is triclinic. The symmetry is P1, No. 1. The density of states at the Fermi level is 0.000 states/eV per atom.